No. 1
DFT (PBE) results for crystalline Pu2Zn15Pt2 at its relaxed geometry.

Unit cell a=9.0215 b=9.0215 c=13.1740 alpha=90.00 beta=90.00 gamma=120.00
Space group R-3m (No. 166, hexagonal axes)
Unique sites:
Pu (0.0000, 0.0000, 0.1602)
Zn (0.0000, 0.2864, 0.5000)
Zn (0.0000, 0.5000, 0.0000)
Zn (0.0044, 0.5022, 0.6493)
Pt (0.0000, 0.0000, 0.3861)

Results
For the calculated density, the calculation gives 9.98 g cm⁻³. The magnetic moment comes out at 32.82 μB/cell. The formation energy is -0.245 eV/atom.



No. 2
DFT (PBE) results for crystalline CoHg3Br at its relaxed geometry.

Unit cell a=6.013 b=6.013 c=6.013 alpha=90.00 beta=90.00 gamma=90.00
Space group Pm-3m (No. 221)
Unique sites:
Co (0.000, 0.000, 0.000)
Hg (0.000, 0.500, 0.500)
Br (0.500, 0.500, 0.500)

Results
For the calculated density, the calculation gives 5.66 g cm⁻³. Its excess energy over the best structure of this formula in the dataset is 838 meV per atom. The magnetic moment comes out at 2.76 μB/cell.



No. 3
DFT (PBE) results for crystalline BaPu2O5 at its relaxed geometry.

Unit cell a=6.482 b=6.482 c=12.094 alpha=90.00 beta=90.00 gamma=90.00
Space group I4/mcm (No. 140)
Unique sites:
Ba (0.000, 0.000, 0.250)
Pu (0.171, 0.329, 0.000)
O (0.000, 0.000, 0.000)
O (0.153, 0.347, 0.386)

Results
For the calculated density, the calculation gives 9.22 g cm⁻³. The magnetic moment comes out at 32.00 μB/cell. As for the uncorrected energy: -311.604 eV/cell.



No. 4
DFT (PBE) results for crystalline ZnNiPt at its relaxed geometry.

Unit cell a=2.762 b=2.762 c=10.566 alpha=90.00 beta=90.00 gamma=90.00
Space group I4mm (No. 107)
Unique sites:
Zn (0.000, 0.000, 0.000)
Ni (0.000, 0.000, 0.346)
Pt (0.000, 0.000, 0.677)

Results
For the calculated density, the calculation gives 13.15 g cm⁻³. The magnetic moment comes out at 0.00 μB/cell. The formation energy is -0.270 eV/atom.



No. 5
DFT (PBE) results for crystalline Re2SiPb at its relaxed geometry.

Unit cell a=6.380 b=6.380 c=6.380 alpha=90.00 beta=90.00 gamma=90.00
Space group Fm-3m (No. 225)
Unique sites:
Re (0.250, 0.250, 0.250)
Si (0.000, 0.000, 0.000)
Pb (0.000, 0.000, 0.500)

Results
For the calculated density, the calculation gives 15.54 g cm⁻³. Its excess energy over the best structure of this formula in the dataset is 466 meV per atom. The magnetic moment comes out at 0.00 μB/cell.



No. 6
DFT (PBE) results for crystalline TmIr6 at its relaxed geometry.

Unit cell a=6.802 b=6.802 c=6.802 alpha=90.00 beta=90.00 gamma=90.00
Space group Im-3m (No. 229)
Unique sites:
Tm (0.000, 0.000, 0.000)
Ir (0.000, 0.250, 0.500)

Results
For the calculated density, the calculation gives 13.95 g cm⁻³. The magnetic moment comes out at 0.00 μB/cell. The formation energy is 0.489 eV/atom.



No. 7
DFT (PBE) results for crystalline Na2RePb2O6 at its relaxed geometry.

Unit cell a=6.371 b=10.175 c=5.861 alpha=90.00 beta=103.96 gamma=90.00
Space group C2/m (No. 12)
Unique sites:
Na (0.000, 0.149, 0.000)
Re (0.000, 0.000, 0.500)
Pb (0.000, 0.337, 0.500)
O (0.177, 0.144, 0.687)
O (0.185, 0.000, 0.289)

Results
For the calculated density, the calculation gives 6.69 g cm⁻³. The magnetic moment comes out at 2.04 μB/cell. As for the uncorrected energy: -135.024 eV/cell.



No. 8
DFT (PBE) results for crystalline Er3Co7Ge2 at its relaxed geometry.

Unit cell a=5.1635 b=5.1635 c=22.8505 alpha=90.00 beta=90.00 gamma=120.00
Space group R-3m (No. 166, hexagonal axes)
Unique sites:
Er (0.0000, 0.0000, 0.0000)
Er (0.0000, 0.0000, 0.1410)
Co (0.0000, 0.0000, 0.5000)
Co (0.0017, 0.5009, 0.0820)
Ge (0.0000, 0.0000, 0.3331)

Results
For the calculated density, the calculation gives 10.00 g cm⁻³. The magnetic moment comes out at 9.72 μB/cell. The formation energy is -0.363 eV/atom.



No. 9
DFT (PBE) results for crystalline Tb2Pu2Ru3 at its relaxed geometry.

Unit cell a=4.6138 b=4.6138 c=25.1161 alpha=90.00 beta=90.00 gamma=120.00
Space group R-3m (No. 166, hexagonal axes)
Unique sites:
Tb (0.0000, 0.0000, 0.1255)
Pu (0.0000, 0.0000, 0.3771)
Ru (0.0000, 0.0000, 0.0000)
Ru (0.0000, 0.0000, 0.2581)

Results
For the calculated density, the calculation gives 11.93 g cm⁻³. Its excess energy over the best structure of this formula in the dataset is 0 meV per atom. The magnetic moment comes out at 25.65 μB/cell. The formation energy is -0.213 eV/atom.



No. 10
DFT (PBE) results for crystalline SrAs3N at its relaxed geometry.

Unit cell a=5.792 b=5.792 c=5.792 alpha=90.00 beta=90.00 gamma=90.00
Space group Pm-3m (No. 221)
Unique sites:
Sr (0.000, 0.000, 0.000)
As (0.000, 0.000, 0.500)
N (0.500, 0.500, 0.500)

Results
For the calculated density, the calculation gives 2.79 g cm⁻³. Its excess energy over the best structure of this formula in the dataset is 1707 meV per atom. The magnetic moment comes out at 2.46 μB/cell.



No. 11
DFT (PBE) results for crystalline Dy2AlCo3Ni12 at its relaxed geometry.

Unit cell a=8.2425 b=8.2425 c=11.9943 alpha=90.00 beta=90.00 gamma=120.00
Space group R-3m (No. 166, hexagonal axes)
Unique sites:
Dy (0.0000, 0.0000, 0.2245)
Al (0.0000, 0.0000, 0.5000)
Co (0.0000, 0.5000, 0.0000)
Ni (0.0183, 0.5092, 0.2081)
Ni (0.0437, 0.5218, 0.6025)

Results
For the calculated density, the calculation gives 8.70 g cm⁻³. The magnetic moment comes out at 24.31 μB/cell. The formation energy is -0.009 eV/atom.



No. 12
DFT (PBE) results for crystalline Ti2ReW2 at its relaxed geometry.

Unit cell a=13.058 b=4.401 c=2.777 alpha=90.00 beta=99.61 gamma=90.00
Space group C2/m (No. 12)
Unique sites:
Ti (0.097, 0.000, 0.382)
Re (0.000, 0.500, 0.000)
W (0.200, 0.500, 0.815)

Results
For the calculated density, the calculation gives 13.71 g cm⁻³. The magnetic moment comes out at 0.00 μB/cell. The formation energy is -0.206 eV/atom.